DFT (GGA-PBEsol) results for K3SmAs2S8 after structural relaxation.

Cell lengths 8.8728, 10.0420, 10.7042 Å; angles 107.37, 102.80, 114.28 degrees
Closest atoms and distances in Å follow each position.
Fractional coordinates of all 28 atoms:
As1 0.9921 0.0938 0.7531  4 S 2.14-2.19
As2 0.0079 0.9062 0.2469  4 S 2.14-2.19
As3 0.2610 0.6593 0.7531  4 S 2.14-2.19
As4 0.7390 0.3407 0.2469  4 S 2.14-2.19
K1 0.7460 0.9960 0.9921  8 S 3.17-3.52
K2 0.5082 0.2582 0.5163  8 S 3.20-3.45
K3 0.2540 0.0040 0.0079  8 S 3.17-3.52
K4 0.0000 0.5000 0.0000  4 S 3.11-3.23
K5 0.5000 0.5000 0.0000  4 S 3.11-3.23
K6 0.4918 0.7418 0.4837  8 S 3.20-3.45
S1 0.9663 0.5272 0.6533  1 As 2.19
S2 0.7915 0.1383 0.6443  1 As 2.18
S3 0.6370 0.2644 0.0215  1 As 2.14
S4 0.3630 0.7356 0.9785  1 As 2.14
S5 0.8639 0.8389 0.7135  1 As 2.18
S6 0.1361 0.1611 0.2865  1 As 2.18
S7 0.6504 0.1253 0.2865  1 As 2.18
S8 0.2085 0.8617 0.3557  1 As 2.18
S9 0.3528 0.5059 0.6443  1 As 2.18
S10 0.8845 0.7571 0.0215  1 As 2.14
S11 0.6472 0.4941 0.3557  1 As 2.18
S12 0.1869 0.1260 0.6533  1 As 2.19
S13 0.0337 0.4728 0.3467  1 As 2.19
S14 0.8131 0.8740 0.3467  1 As 2.19
S15 0.3496 0.8747 0.7135  1 As 2.18
S16 0.1155 0.2429 0.9785  1 As 2.14
Sm1 0.9931 0.2431 0.4863  8 S 2.81-3.05
Sm2 0.0069 0.7569 0.5137  8 S 2.81-3.05

## Properties
E_tot, eV/atom: -4.755
Formation energy (no corrections), meV per atom: -913.5
D(E_F), states/eV/atom: 0.00
Magnetization, μB per atom: 0.000
Space-group type: C2/c



DFT (GGA-PBEsol) results for BaMnCo2 after structural relaxation.

Cell lengths 3.8127, 3.7425, 6.0516 Å; angles 90.00, 108.35, 90.00 degrees
Closest atoms and distances in Å follow each position.
Fractional coordinates of all 4 atoms:
Mn1 0.4825 0.0000 0.3401  2 Co 2.39
Co1 0.8574 0.0000 0.0897  2 Co 2.16, 2 Mn 2.39
Co2 0.9503 0.5000 0.2758  2 Co 2.16
Ba1 0.2098 0.5000 0.7944  5 Co 2.98-3.16

## Properties
E_tot, eV/atom: -6.209
E_form, eV per atom: 0.64
D(E_F), states/eV/atom: 1.01
Magnetization, μB per atom: 1.603
Space-group type: Amm2



DFT (GGA-PBEsol) results for BeZnTe2 after structural relaxation.

Cell lengths 4.1380, 4.1380, 8.6661 Å; angles 76.19, 76.19, 60.00 degrees
Closest atoms and distances in Å follow each position.
Fractional coordinates of all 4 atoms:
Be1 0.2963 0.2963 0.1110  3 Te 2.39
Te1 0.7739 0.7739 0.6782  3 Zn 2.49
Te2 0.9607 0.9607 0.1178  3 Be 2.39
Zn1 0.4690 0.4690 0.5930  3 Te 2.49

## Properties
E_tot, eV/atom: -3.189
Formation energy (no corrections), meV per atom: -30.5
D(E_F), states/eV/atom: 0.00
Magnetization, μB per atom: 0.000
Space-group type: R3m
Polymorph energy (0 for the lowest one), eV/atom: 0.3376



DFT (GGA-PBEsol) results for Cs3Fe2F9 after structural relaxation.

Cell lengths 6.2639, 6.2639, 14.6560 Å; angles 90.00, 90.00, 120.00 degrees
Closest atoms and distances in Å follow each position.
Fractional coordinates of all 28 atoms:
F1 0.1357 0.8643 0.2500  2 Fe 2.07
F2 0.8473 0.6945 0.4076  1 Fe 1.87
F3 0.1357 0.2715 0.2500  2 Fe 2.07
F4 0.1527 0.8473 0.9076  1 Fe 1.87
F5 0.3055 0.1527 0.0924  1 Fe 1.87
F6 0.3055 0.1527 0.4076  1 Fe 1.87
F7 0.8473 0.1527 0.4076  1 Fe 1.87
F8 0.6945 0.8473 0.5924  1 Fe 1.87
F9 0.2715 0.1357 0.7500  2 Fe 2.07
F10 0.8473 0.6945 0.0924  1 Fe 1.87
F11 0.1527 0.8473 0.5924  1 Fe 1.87
F12 0.7285 0.8643 0.2500  2 Fe 2.07
F13 0.8643 0.1357 0.7500  2 Fe 2.07
F14 0.8473 0.1527 0.0924  1 Fe 1.87
F15 0.8643 0.7285 0.7500  2 Fe 2.07
F16 0.6945 0.8473 0.9076  1 Fe 1.87
F17 0.1527 0.3055 0.5924  1 Fe 1.87
F18 0.1527 0.3055 0.9076  1 Fe 1.87
Cs1 0.3333 0.6667 0.0707  12 F 3.09-3.39
Cs2 0.6667 0.3333 0.9293  12 F 3.09-3.39
Cs3 0.3333 0.6667 0.4293  12 F 3.09-3.39
Cs4 0.6667 0.3333 0.2500  12 F 3.03-3.15
Cs5 0.6667 0.3333 0.5707  12 F 3.09-3.39
Cs6 0.3333 0.6667 0.7500  12 F 3.03-3.15
Fe1 0.0000 0.0000 0.3492  6 F 1.87-2.07
Fe2 0.0000 0.0000 0.8492  6 F 1.87-2.07
Fe3 0.0000 0.0000 0.6508  6 F 1.87-2.07
Fe4 0.0000 0.0000 0.1508  6 F 1.87-2.07

## Properties
E_tot, eV/atom: -5.238
Formation energy (no corrections), meV per atom: -2516.9
Magnetization, μB per atom: 0.714
Space-group type: P6_3/mmc



DFT (GGA-PBEsol) results for BaTm2F8 after structural relaxation.

Cell lengths 4.1994, 6.1891, 6.1891 Å; angles 112.84, 95.13, 95.13 degrees
Closest atoms and distances in Å follow each position.
Fractional coordinates of all 11 atoms:
Ba1 0.0000 0.0000 0.0000  12 F 2.71-2.89
F1 0.0000 0.7376 0.2624  2 Tm 2.19
F2 0.5613 0.3283 0.0463  2 Tm 2.23-2.27, 1 F 2.49
F3 0.0000 0.2624 0.7376  2 Tm 2.19
F4 0.4387 0.9537 0.6717  2 Tm 2.23-2.27, 1 F 2.49
F5 0.5613 0.0463 0.3283  2 Tm 2.23-2.27, 1 F 2.49
F6 0.4387 0.6717 0.9537  2 Tm 2.23-2.27, 1 F 2.49
F7 0.7737 0.6054 0.6054  2 Tm 2.20
F8 0.2263 0.3946 0.3946  2 Tm 2.20
Tm1 0.5000 0.6758 0.3242  8 F 2.19-2.27
Tm2 0.5000 0.3242 0.6758  8 F 2.19-2.27

## Properties
E_tot, eV/atom: -6.652
Formation energy (no corrections), meV per atom: -4163.8
D(E_F), states/eV/atom: 0.00
Magnetization, μB per atom: 0.001
Space-group type: C2/m



DFT (GGA-PBEsol) results for HfMg3 after structural relaxation.

Cell lengths 4.9311, 4.9311, 4.9311 Å; angles 60.00, 60.00, 60.00 degrees
Closest atoms and distances in Å follow each position.
Fractional coordinates of all 4 atoms:
Mg1 0.5000 0.5000 0.5000  8 Mg 3.02
Mg2 0.2500 0.2500 0.2500  4 Hf 3.02, 4 Mg 3.02
Mg3 0.7500 0.7500 0.7500  4 Mg 3.02, 4 Hf 3.02
Hf1 0.0000 0.0000 0.0000  8 Mg 3.02

## Properties
E_tot, eV/atom: -3.703
E_form, eV per atom: 0.21
D(E_F), states/eV/atom: 0.43
Magnetization, μB per atom: 0.000
Space-group type: Fm-3m



DFT (GGA-PBEsol) results for Zr2Ni12P7 after structural relaxation.

Cell lengths 3.5484, 8.8930, 8.8930 Å; angles 120.00, 90.00, 90.00 degrees
Closest atoms and distances in Å follow each position.
Fractional coordinates of all 21 atoms:
P1 0.5000 0.4109 0.2918  7 Ni 2.19-2.30
P2 0.0000 0.1192 0.4115  5 Ni 2.17-2.25
P3 0.5000 0.7082 0.1191  7 Ni 2.19-2.30
P4 0.0000 0.0000 0.0000  3 Ni 2.14
P5 0.0000 0.5885 0.7078  5 Ni 2.17-2.25
P6 0.5000 0.8809 0.5891  7 Ni 2.19-2.30
P7 0.0000 0.2922 0.8808  5 Ni 2.17-2.25
Ni1 0.0000 0.5658 0.9397  4 P 2.17-2.30
Ni2 0.0000 0.8434 0.7231  4 P 2.14-2.25
Ni3 0.5000 0.6132 0.5660  4 P 2.19-2.28
Ni4 0.5000 0.7802 0.9077  5 P 2.27-2.49
Ni5 0.0000 0.0603 0.6262  4 P 2.17-2.30
Ni6 0.0000 0.8798 0.1566  4 P 2.14-2.25
Ni7 0.0000 0.3738 0.4342  4 P 2.17-2.30
Ni8 0.5000 0.9528 0.3868  4 P 2.19-2.28
Ni9 0.0000 0.2769 0.1202  4 P 2.14-2.25
Ni10 0.5000 0.0923 0.8726  5 P 2.27-2.49
Ni11 0.5000 0.4340 0.0472  4 P 2.19-2.28
Ni12 0.5000 0.1274 0.2198  5 P 2.27-2.49
Zr1 0.0000 0.6667 0.3333  6 P 2.76, 9 Ni 2.94-3.01
Zr2 0.5000 0.3333 0.6667  6 P 2.76, 9 Ni 2.88-3.04

## Properties
E_tot, eV/atom: -7.141
E_form, eV per atom: -0.83
D(E_F), states/eV/atom: 0.50
Magnetization, μB per atom: 0.000
Space-group type: P-6



DFT (GGA-PBEsol) results for K2GeI6O18 after structural relaxation.

Cell lengths 7.3895, 7.3895, 7.3895 Å; angles 96.95, 96.95, 96.95 degrees
Closest atoms and distances in Å follow each position.
Fractional coordinates of all 27 atoms:
I1 0.7953 0.1601 0.3711  3 O 1.83-1.91
I2 0.6289 0.2047 0.8399  3 O 1.83-1.91
I3 0.8399 0.6289 0.2047  3 O 1.83-1.91
I4 0.1601 0.3711 0.7953  3 O 1.83-1.91
I5 0.2047 0.8399 0.6289  3 O 1.83-1.91
I6 0.3711 0.7953 0.1601  3 O 1.83-1.91
O1 0.2064 0.5827 0.1104  1 I 1.84
O2 0.7936 0.4173 0.8896  1 I 1.84
O3 0.5827 0.1104 0.2064  1 I 1.84
O4 0.8896 0.7936 0.4173  1 I 1.84
O5 0.8166 0.8174 0.0519  1 Ge 1.90, 1 I 1.91
O6 0.0519 0.8166 0.8174  1 Ge 1.90, 1 I 1.91
O7 0.4173 0.8896 0.7936  1 I 1.84
O8 0.1879 0.5897 0.5818  1 I 1.83
O9 0.4182 0.8121 0.4103  1 I 1.83
O10 0.8121 0.4103 0.4182  1 I 1.83
O11 0.1834 0.1826 0.9481  1 Ge 1.90, 1 I 1.91
O12 0.1826 0.9481 0.1834  1 Ge 1.90, 1 I 1.91
O13 0.1104 0.2064 0.5827  1 I 1.84
O14 0.4103 0.4182 0.8121  1 I 1.83
O15 0.5818 0.1879 0.5897  1 I 1.83
O16 0.9481 0.1834 0.1826  1 Ge 1.90, 1 I 1.91
O17 0.8174 0.0519 0.8166  1 Ge 1.90, 1 I 1.91
O18 0.5897 0.5818 0.1879  1 I 1.83
K1 0.6743 0.6743 0.6743  9 O 2.78-2.91
K2 0.3257 0.3257 0.3257  9 O 2.78-2.91
Ge1 0.0000 0.0000 0.0000  6 O 1.90

## Properties
E_tot, eV/atom: -4.896
Formation energy (no corrections), meV per atom: -736.8
D(E_F), states/eV/atom: 0.00
Magnetization, μB per atom: 0.000
Space-group type: R-3



Question: E_tot of number 2 (BaMnCo2)?
Answer: -6.209 eV/atom



Question: Look up the magnetization of the fourth one.
Answer: 0.714 μB per atom



Question: E_tot of number 4 (Cs3Fe2F9)?
Answer: -5.238 eV/atom